Entry 1:
Compound: Ho8Bi2Ru3
Source: Alexandria via LeMat-Bulk
Functional: PBE
Structure: optimized geometry

Unit cell a=9.0719 b=9.0719 c=4.8633 alpha=90.00 beta=90.00 gamma=115.04
With the nearest neighbours (Å) after each atom.
Sites, in units of the cell vectors:
Ho1 0.1040 0.8960 0.0000  2 Ru 2.93, 1 Ho 3.18, 2 Bi 3.23
Ho2 0.1505 0.3606 0.5000  3 Ru 2.87-2.92, 1 Ho 3.22
Ho3 0.3606 0.1505 0.5000  3 Ru 2.87-2.92, 1 Ho 3.22
Ho4 0.3921 0.6079 0.0000  4 Ru 2.92-2.94
Ho5 0.6079 0.3921 0.0000  4 Ru 2.92-2.94
Ho6 0.6394 0.8495 0.5000  3 Ru 2.87-2.92, 1 Ho 3.22
Ho7 0.8495 0.6394 0.5000  3 Ru 2.87-2.92, 1 Ho 3.22
Ho8 0.8960 0.1040 0.0000  2 Ru 2.93, 1 Ho 3.18, 2 Bi 3.23
Bi1 0.2434 0.7566 0.5000  8 Ho 3.23-3.33
Bi2 0.7566 0.2434 0.5000  8 Ho 3.23-3.33
Ru1 0.2523 0.2523 0.0000  8 Ho 2.92-2.93
Ru2 0.5000 0.5000 0.5000  8 Ho 2.87-2.94
Ru3 0.7477 0.7477 0.0000  8 Ho 2.92-2.93

Computed properties:
**Calculated total energy**: -6.003 eV per atom
**Calculated formation energy**: -43.3 kJ per mole of atoms
**DOS at the Fermi energy**: 7.61 states/eV/f.u.


Entry 2:
Compound: Sr2SbPb
Source: Alexandria via LeMat-Bulk
Functional: PBE
Structure: optimized geometry

Unit cell a=3.7597 b=5.7339 c=6.8150 alpha=90.00 beta=90.00 gamma=90.00
With the nearest neighbours (Å) after each atom.
Sites, in units of the cell vectors:
Sr1 0.0000 0.0000 0.0000  2 Sb 3.41, 4 Pb 3.43, 2 Sr 3.76
Sr2 0.5000 0.5000 0.5000  2 Pb 3.41, 4 Sb 3.43, 2 Sr 3.76
Sb1 0.0000 0.0000 0.5000  6 Sr 3.41-3.43, 2 Sb 3.76
Pb1 0.5000 0.5000 0.0000  6 Sr 3.41-3.43, 2 Pb 3.76

Computed properties:
**Calculated total energy**: -3.310 eV per atom
**Formation energy without anion corrections**: -0.51 eV/atom
**Energy relative to the lowest polymorph listed for this composition**: 181 meV per atom
**DOS at the Fermi energy**: 3.61 states/eV/f.u.


Entry 3:
Compound: MgAlSe2N
Source: Alexandria via LeMat-Bulk
Functional: PBE
Structure: optimized geometry

Unit cell a=5.1653 b=5.1653 c=3.9487 alpha=90.00 beta=90.00 gamma=90.00
With the nearest neighbours (Å) after each atom.
Sites, in units of the cell vectors:
Mg1 0.0000 0.0000 0.0000  2 N 1.97
Al1 0.5000 0.5000 0.5000  8 Se 3.25
Se1 0.0000 0.5000 0.0000  2 Mg 2.58
Se2 0.5000 0.0000 0.0000  2 Mg 2.58
N1 0.0000 0.0000 0.5000  2 Mg 1.97

Computed properties:
**Calculated total energy**: -3.538 eV per atom
**Formation energy without anion corrections**: 0.59 eV/atom
**Energy relative to the lowest polymorph listed for this composition**: 672 meV per atom
**DOS at the Fermi energy**: 4.01 states/eV/f.u.


Entry 4:
Compound: Se2SI
Source: Alexandria via LeMat-Bulk
Functional: PBE
Structure: optimized geometry

Unit cell a=8.9817 b=8.9817 c=8.9817 alpha=26.53 beta=26.53 gamma=26.53
With the nearest neighbours (Å) after each atom.
Sites, in units of the cell vectors:
Se1 0.0845 0.0845 0.0845  1 S 2.19
Se2 0.9155 0.9155 0.9155  1 S 2.19
S1 0.0000 0.0000 0.0000  2 Se 2.19
I1 0.5000 0.5000 0.5000  6 Se 3.20

Computed properties:
**Calculated total energy**: -2.670 eV per atom
**Formation energy without anion corrections**: 0.49 eV/atom
**Energy relative to the lowest polymorph listed for this composition**: 100 meV per atom
**DOS at the Fermi energy**: 3.56 states/eV/f.u.


Entry 5:
Compound: SmErPd
Source: Alexandria via LeMat-Bulk
Functional: PBE
Structure: optimized geometry

Unit cell a=6.6285 b=6.6285 c=6.6285 alpha=148.77 beta=148.77 gamma=44.75
With the nearest neighbours (Å) after each atom.
Sites, in units of the cell vectors:
Sm1 0.0000 0.0000 0.0000  4 Pd 3.14, 1 Er 3.39
Er1 0.2765 0.2765 0.0000  4 Pd 2.95
Pd1 0.6522 0.6522 0.0000  4 Er 2.95, 4 Sm 3.14

Computed properties:
**Calculated total energy**: -5.359 eV per atom
**Calculated formation energy**: -51.6 kJ per mole of atoms
**Energy relative to the lowest polymorph listed for this composition**: 0 meV per atom
**DOS at the Fermi energy**: 2.96 states/eV/f.u.


Entry 6:
Compound: ZnGaNi
Source: Alexandria via LeMat-Bulk
Functional: PBE
Structure: optimized geometry

Unit cell a=4.1311 b=4.1311 c=2.7836 alpha=90.00 beta=90.00 gamma=120.00
With the nearest neighbours (Å) after each atom.
Sites, in units of the cell vectors:
Zn1 0.0000 0.0000 0.0000  6 Ga 2.74-2.78, 6 Ni 2.75-2.77, 2 Zn 2.78
Ga1 0.3333 0.6667 0.4837  3 Ni 2.39
Ni1 0.6667 0.3333 0.5084  3 Ga 2.39

Computed properties:
**Calculated total energy**: -3.497 eV per atom
**Calculated formation energy**: -13.1 kJ per mole of atoms
**DOS at the Fermi energy**: 1.11 states/eV/f.u.